# HfNpSc (PBE, optimized geometry)
# Formation energy from the elements ... 1126 meV per atom
# E above lowest polymorph ... 0 meV/atom
# Space group ... F-43m, No. 216
# Total energy ... -25.68 eV for the cell shown
data_HfNpSc
_chemical_formula_sum 'Hf1 Np1 Sc1'
_cell_length_a 4.7330
_cell_length_b 4.7330
_cell_length_c 4.7330
_cell_angle_alpha 60.00
_cell_angle_beta 60.00
_cell_angle_gamma 60.00
_space_group_name_H-M_alt 'P 1'
_space_group_IT_number 1
loop_
_space_group_symop_operation_xyz
'x,y,z'
loop_
_atom_site_label
_atom_site_type_symbol
_atom_site_fract_x
_atom_site_fract_y
_atom_site_fract_z
_atom_site_occupancy
Hf1 Hf 0.0000 0.0000 0.0000 1
Np1 Np 0.2500 0.2500 0.2500 1
Sc1 Sc 0.7500 0.7500 0.7500 1